[1]
Entry from Alexandria via LeMat-Bulk: a relaxed structure of UTl2SbSe6 (PBE-GGA).

POSCAR file:
```
UTl2SbSe6
1.0
-0.2973 7.5579 0.4518
-6.5233 0.0062 -4.3967
-6.0739 -0.7776 9.0106
U Tl Sb Se
2 4 2 12
direct
0.5000 0.2367 0.5000
0.0000 0.7633 0.0000
0.5000 0.7948 0.2182
0.0000 0.2052 0.7182
0.5000 0.7948 0.7818
0.0000 0.2052 0.2818
0.0000 0.7285 0.5000
0.5000 0.2715 0.0000
0.5000 0.2258 0.2552
0.5000 0.2258 0.7448
0.0000 0.7742 0.2448
0.0000 0.7742 0.7552
0.2528 0.9934 0.5000
0.7472 0.9934 0.5000
0.2514 0.4738 0.5000
0.7486 0.4738 0.5000
0.7514 0.5262 0.0000
0.2486 0.5262 0.0000
0.2472 0.0066 0.0000
0.7528 0.0066 0.0000
```

Calculated values
ΔE_f (raw) = -428 meV/atom

---

[2]
Entry from Alexandria via LeMat-Bulk: a relaxed structure of Ba4Sr3Cd2 (PBE-GGA).

POSCAR file:
```
Ba4Sr3Cd2
1.0
-0.4165 4.4210 3.8501
-7.3409 2.2694 -3.4000
-2.1166 -8.2906 4.8052
Ba Sr Cd
4 3 2
direct
0.2230 0.6987 0.4460
0.7770 0.3013 0.5540
0.5741 0.8250 0.1481
0.4259 0.1750 0.8519
0.1104 0.1733 0.2207
0.8896 0.8267 0.7793
0.0000 0.5000 0.0000
0.3915 0.5736 0.7831
0.6085 0.4264 0.2169
```

Calculated values
Total energy = -1.72 eV/atom

---

[3]
Entry from Alexandria via LeMat-Bulk: a relaxed structure of LiAcSn2 (PBE-GGA).

POSCAR file:
```
LiAcSn2
1.0
-3.3922 3.4055 0.5415
-1.5607 -0.8344 -4.5285
-3.0948 -3.3505 1.6839
Ac Sn Li
1 2 1
direct
0.5000 0.5000 0.5000
0.0000 0.0000 0.5000
0.0000 0.5000 0.0000
0.5000 0.0000 0.0000
```

Calculated values
Total energy = -4.00 eV/atom

---

[4]
Entry from Alexandria via LeMat-Bulk: a relaxed structure of TaTc2Pt (PBE-GGA).

POSCAR file:
```
TaTc2Pt
1.0
0.0000 3.1603 3.1603
3.1603 0.0000 3.1603
3.1603 3.1603 0.0000
Tc Pt Ta
2 1 1
direct
0.2500 0.2500 0.2500
0.7500 0.7500 0.7500
0.5000 0.5000 0.5000
0.0000 0.0000 0.0000
```

Calculated values
E above lowest polymorph = 0.347 eV per atom

---

[5]
Entry from Alexandria via LeMat-Bulk: a relaxed structure of Ca2YSn9 (PBE-GGA).

POSCAR file:
```
Ca2YSn9
1.0
4.7459 0.0000 0.0000
0.0000 4.7459 0.0000
0.0000 0.0000 14.2368
Ca Y Sn
2 1 9
direct
0.0000 0.0000 0.3316
0.0000 0.0000 0.6684
0.0000 0.0000 0.0000
0.5000 0.5000 0.0000
0.5000 0.5000 0.3330
0.5000 0.5000 0.6670
0.5000 0.0000 0.1653
0.5000 0.0000 0.5000
0.5000 0.0000 0.8347
0.0000 0.5000 0.1653
0.0000 0.5000 0.5000
0.0000 0.5000 0.8347
```

Calculated values
Total energy = -4.28 eV/atom

---

[6]
Entry from Alexandria via LeMat-Bulk: a relaxed structure of MnTe2I8 (PBE-GGA).

POSCAR file:
```
MnTe2I8
1.0
7.8063 0.6823 0.5671
1.0204 8.5270 -0.6358
1.0204 0.9338 8.4996
Mn Te I
1 2 8
direct
0.0000 0.0000 0.0000
0.4665 0.1707 0.1707
0.5335 0.8293 0.8293
0.7969 0.1113 0.7903
0.2031 0.2097 0.8887
0.7611 0.2561 0.2561
0.2389 0.7439 0.7439
0.7969 0.7903 0.1113
0.2031 0.8887 0.2097
0.2129 0.3710 0.3710
0.7871 0.6290 0.6290
```

Calculated values
ΔE_f (raw) = -88 meV/atom

---

no.,volume (Å³/cell),density (Mg/m³)
1,649.4,6.4
2,447.8,3.8
3,114.3,6.8
4,63.1,15.0
5,320.7,6.4
6,559.7,3.9